No. 1
Crystalline BeHgOF2 at its relaxed geometry. Source: Alexandria via LeMat-Bulk, functional PBE-GGA.

Cell: 3.345 3.345 4.894 Å, 90.00 90.00 90.00°
Atoms (fractional coordinates):
Be 0.000 0.000 0.000
Hg 0.500 0.500 0.500
O 0.000 0.000 0.500
F 0.000 0.500 0.000
F 0.500 0.000 0.000

Offset from the most stable computed form, eV per atom: 0.000
Volume, Å³ per cell: 54.8
Size of the total moment, μB per cell: 0.000
DFT total energy, eV/atom: -4.25
Uncorrected formation energy, eV/atom: -1.704



No. 2
Crystalline BeHg2OsF at its relaxed geometry. Source: Alexandria via LeMat-Bulk, functional PBE-GGA.

Cell: 4.959 4.959 3.948 Å, 90.00 90.00 90.00°
Atoms (fractional coordinates):
Be 0.000 0.000 0.000
Hg 0.000 0.500 0.500
Hg 0.500 0.000 0.500
Os 0.500 0.500 0.000
F 0.500 0.500 0.500

Volume, Å³ per cell: 97.1
Size of the total moment, μB per cell: 0.875
DFT total energy, eV/atom: -2.43
Uncorrected formation energy, eV/atom: 1.057



No. 3
Crystalline Be2HgPbF8 at its relaxed geometry. Source: Alexandria via LeMat-Bulk, functional PBE-GGA.

Cell: 5.581 5.581 6.226 Å, 107.55 107.55 59.12°
Atoms (fractional coordinates):
Be 0.211 0.211 0.179
Be 0.789 0.789 0.821
Hg 0.500 0.500 0.000
Pb 0.000 0.000 0.500
F 0.079 0.629 0.727
F 0.155 0.155 0.916
F 0.371 0.921 0.273
F 0.382 0.382 0.280
F 0.618 0.618 0.720
F 0.629 0.079 0.727
F 0.845 0.845 0.084
F 0.921 0.371 0.273

Volume, Å³ per cell: 156.1
Size of the total moment, μB per cell: 0.000
DFT total energy, eV/atom: -4.77
Uncorrected formation energy, eV/atom: -2.565



No. 4
Crystalline RbBe2HgF8 at its relaxed geometry. Source: Alexandria via LeMat-Bulk, functional PBE-GGA.

Cell: 4.929 4.929 8.504 Å, 95.55 95.55 68.85°
Atoms (fractional coordinates):
Rb 0.000 0.000 0.000
Be 0.391 0.391 0.713
Be 0.609 0.609 0.287
Hg 0.000 0.000 0.500
F 0.267 0.733 0.297
F 0.267 0.733 0.703
F 0.269 0.269 0.552
F 0.318 0.318 0.868
F 0.682 0.682 0.132
F 0.731 0.731 0.448
F 0.733 0.267 0.297
F 0.733 0.267 0.703

Volume, Å³ per cell: 191.3
Size of the total moment, μB per cell: 1.099
DFT total energy, eV/atom: -4.44
Uncorrected formation energy, eV/atom: -2.462



No. 5
Crystalline BeHgSb2F at its relaxed geometry. Source: Alexandria via LeMat-Bulk, functional PBE-GGA.

Cell: 4.742 4.742 5.139 Å, 90.00 90.00 90.00°
Atoms (fractional coordinates):
Be 0.000 0.000 0.000
Hg 0.500 0.500 0.000
Sb 0.000 0.500 0.500
Sb 0.500 0.000 0.500
F 0.500 0.500 0.500

Volume, Å³ per cell: 115.6
Size of the total moment, μB per cell: 0.000
DFT total energy, eV/atom: -2.49
Uncorrected formation energy, eV/atom: 0.339